1.
## Zn4Fe4Cu (PBE-GGA)

Data for Zn4Fe4Cu after structural relaxation.

Values from the calculation:
**Space-group type**: I4/mmm
**M_tot**: 9.53 μB/f.u.
**Energy of formation from the pure elements**: -0.003 eV/atom

```
Zn4Fe4Cu
1.0
-1.812 1.846 1.733
1.987 -0.936 5.873
3.097 5.446 0.233
Zn Fe Cu
4 4 1
Direct
0.334 0.000 0.331
0.666 0.000 0.669
0.666 0.669 0.000
0.334 0.331 0.000
0.343 0.657 0.657
0.000 0.343 0.657
0.657 0.343 0.343
0.000 0.657 0.343
0.000 0.000 0.000
```


2.
## K2BaCuF8 (PBE-GGA)

Data for K2BaCuF8 after structural relaxation.

Values from the calculation:
**Space-group type**: P-3m1
**M_tot**: 1.67 μB/f.u.
**Raw formation energy**: -2.340 eV/atom

```
K2BaCuF8
1.0
5.560 0.000 0.000
-2.780 4.815 0.000
0.000 0.000 7.249
Cu F Ba K
1 8 1 2
Direct
0.000 0.000 0.000
0.845 0.155 0.840
0.310 0.155 0.840
0.155 0.845 0.160
0.845 0.690 0.840
0.333 0.667 0.508
0.155 0.310 0.160
0.667 0.333 0.492
0.690 0.845 0.160
0.000 0.000 0.500
0.333 0.667 0.859
0.667 0.333 0.141
```


3.
## CaHgBiPb2 (PBE-GGA)

Data for CaHgBiPb2 after structural relaxation.

Values from the calculation:
**Space-group type**: Cmcm
**M_tot**: 0.00 μB/f.u.
**Energy of formation from the pure elements**: -0.187 eV/atom
**Excess energy over the best structure of this formula in the dataset**: 0.00 eV/f.u.

```
CaHgBiPb2
1.0
6.478 0.000 0.000
0.000 6.485 0.000
0.000 -3.242 7.869
Bi Pb Hg Ca
2 4 2 2
Direct
0.750 0.329 0.658
0.250 0.671 0.342
0.500 0.255 0.000
0.000 0.745 0.000
0.000 0.255 0.000
0.500 0.745 0.000
0.750 0.141 0.282
0.250 0.859 0.718
0.750 0.760 0.520
0.250 0.240 0.480
```


4.
## NbVGa (PBE-GGA)

Data for NbVGa after structural relaxation.

Values from the calculation:
**Space-group type**: Imma
**M_tot**: 0.00 μB/f.u.
**Energy of formation from the pure elements**: -0.244 eV/atom
**Excess energy over the best structure of this formula in the dataset**: 0.00 eV/f.u.

```
NbVGa
1.0
4.547 -0.273 -2.315
-2.727 4.306 -0.360
-0.483 0.273 5.080
V Nb Ga
2 2 2
Direct
0.000 0.500 0.500
0.500 0.500 0.000
0.250 0.123 0.373
0.750 0.877 0.627
0.000 0.500 0.000
0.500 0.000 0.000
```


5.
## ScZnOs2 (PBE-GGA)

Data for ScZnOs2 after structural relaxation.

Values from the calculation:
**Space-group type**: Pmmm
**M_tot**: 0.00 μB/f.u.
**Energy of formation from the pure elements**: 0.084 eV/atom

```
ScZnOs2
1.0
-2.024 0.286 1.970
2.693 -0.580 2.852
0.981 5.548 0.201
Os Sc Zn
2 1 1
Direct
0.000 0.000 0.532
0.000 0.000 0.968
0.500 0.500 0.250
0.500 0.500 0.750
```


6.
## Nb2VAsBr (PBE-GGA)

Data for Nb2VAsBr after structural relaxation.

Values from the calculation:
**Space-group type**: P4/mmm
**M_tot**: 0.00 μB/f.u.
**Raw formation energy**: 0.929 eV/atom

```
Nb2VAsBr
1.0
-2.051 -0.946 4.353
2.438 -3.789 0.325
3.583 2.496 2.231
Nb V Br As
2 1 1 1
Direct
0.500 0.000 0.000
0.000 0.000 0.500
0.000 0.500 0.000
0.500 0.500 0.500
0.000 0.000 0.000
```